Material: LiHo2C
Method: DFT, GGA-PBE
State: relaxed

a = 3.4974 Å, b = 3.4974 Å, c = 27.9669 Å
α = 90.00°, β = 90.00°, γ = 120.00°
Closest atoms and distances in Å follow each position.
Element x y z (fractional)
Li 0.0000 0.0000 0.0000  2 Ho 3.32, 6 Li 3.50
Li 0.3333 0.6667 0.6667  2 Ho 3.32, 6 Li 3.50
Li 0.6667 0.3333 0.3333  2 Ho 3.32, 6 Li 3.50
Ho 0.0000 0.0000 0.1187  3 C 2.42
Ho 0.0000 0.0000 0.8813  3 C 2.42
Ho 0.3333 0.6667 0.5480  3 C 2.42
Ho 0.3333 0.6667 0.7853  3 C 2.42
Ho 0.6667 0.3333 0.2147  3 C 2.42
Ho 0.6667 0.3333 0.4520  3 C 2.42
C 0.0000 0.0000 0.5000  6 Ho 2.42
C 0.3333 0.6667 0.1667  6 Ho 2.42
C 0.6667 0.3333 0.8333  6 Ho 2.42

Energy ... -5.183 eV per atom
ΔE to the lowest computed polymorph ... 0 meV per atom
ΔE_f ... -109 meV/atom
Space group ... R-3m (166)
V ... 24.688 Å³ per atom